Record 1
BeAg2SnSe4: optimized geometry, PBE-GGA.

Summary:
For the uncorrected formation energy, the calculation gives -0.3757 eV/atom. For the volume, the calculation gives 402.5 Å³ per cell. The size of the total moment is 0.000 μB per formula unit.

Structure (CIF):
```
data_BeAg2SnSe4
_chemical_formula_sum 'Be2 Ag4 Sn2 Se8'
_space_group_name_H-M_alt 'I -4'
_space_group_IT_number 82
_cell_length_a 6.024
_cell_length_b 6.024
_cell_length_c 11.093
_cell_angle_alpha 90.00
_cell_angle_beta 90.00
_cell_angle_gamma 90.00
loop_
_space_group_symop_operation_xyz
'x,y,z'
'y,-x,-z'
'-x,-y,z'
'-y,x,-z'
'x+1/2,y+1/2,z+1/2'
'y+1/2,-x+1/2,-z+1/2'
'-x+1/2,-y+1/2,z+1/2'
'-y+1/2,x+1/2,-z+1/2'
loop_
_atom_site_label
_atom_site_fract_x
_atom_site_fract_y
_atom_site_fract_z
_atom_site_occupancy
Be1 0.000 0.000 0.000 1
Ag1 0.000 0.000 0.500 1
Ag2 0.000 0.500 0.750 1
Sn1 0.000 0.500 0.250 1
Se1 0.216 0.774 0.112 1
```

Record 2
KZr2P: optimized geometry, PBE-GGA.

Summary:
For the volume, the calculation gives 107.9 Å³ per cell. The value obtained for the raw total energy is -24.00 eV/f.u. The size of the total moment is 0.000 μB per formula unit.

Structure (CIF):
```
data_KZr2P
_chemical_formula_sum 'K1 Zr2 P1'
_space_group_name_H-M_alt 'P 1 2/m 1'
_space_group_IT_number 10
_cell_length_a 3.126
_cell_length_b 3.469
_cell_length_c 9.996
_cell_angle_alpha 90.00
_cell_angle_beta 95.75
_cell_angle_gamma 90.00
loop_
_space_group_symop_operation_xyz
'x,y,z'
'-x,-y,-z'
'-x,y,-z'
'x,-y,z'
loop_
_atom_site_label
_atom_site_fract_x
_atom_site_fract_y
_atom_site_fract_z
_atom_site_occupancy
K1 0.000 0.000 0.000 1
Zr1 0.407 0.500 0.652 1
P1 0.000 0.000 0.500 1
```